(1)
VASP calculation (PBE) on an optimized crystal structure of Be2PtSe.

Values from the calculation:
N(E_F) (states/eV/cell): 0.9
Symmetry: Cmmm
Energy relative to the elements, uncorrected (kJ per mole of atoms): 0.9
Total energy (Ry/atom): -0.3113

Cell lengths 4.2876, 4.2876, 2.8835 Å; angles 90.00, 90.00, 98.34 degrees
Closest atoms and distances in Å follow each position.
Atoms (fractional coordinates):
Pt1 0.5000 0.0000 0.5000  8 Be 2.58, 2 Se 2.80, 2 Pt 2.88
Se1 0.0000 0.5000 0.5000  8 Be 2.58, 2 Pt 2.80, 2 Se 2.88
Be1 0.5000 0.5000 0.0000  4 Pt 2.58, 4 Se 2.58, 4 Be 2.80-2.88
Be2 0.0000 0.0000 0.0000  4 Se 2.58, 4 Pt 2.58, 4 Be 2.80-2.88


(2)
VASP calculation (PBE) on an optimized crystal structure of LiHoSnPt.

Values from the calculation:
Symmetry: F-43m
DFT formation energy (eV per formula unit): -3.71
Total energy (Ry/atom): -0.3719

Cell lengths 4.7433, 4.7433, 4.7433 Å; angles 60.00, 60.00, 60.00 degrees
Closest atoms and distances in Å follow each position.
Atoms (fractional coordinates):
Ho1 0.0000 0.0000 0.0000  4 Pt 2.90, 4 Li 2.90
Pt1 0.7500 0.7500 0.7500  4 Sn 2.90, 4 Ho 2.90
Sn1 0.5000 0.5000 0.5000  4 Li 2.90, 4 Pt 2.90
Li1 0.2500 0.2500 0.2500  4 Ho 2.90, 4 Sn 2.90


(3)
VASP calculation (PBE) on an optimized crystal structure of Cs2NbBr2F4.

Values from the calculation:
N(E_F) (states/eV/cell): 6.5
Symmetry: I4/mmm
Energy relative to the elements, uncorrected (kJ per mole of atoms): -233.6
Total energy (Ry/atom): -0.3626

Cell lengths 7.0013, 7.0013, 7.0013 Å; angles 96.19, 116.49, 116.49 degrees
Closest atoms and distances in Å follow each position.
Atoms (fractional coordinates):
Cs1 0.5000 0.7500 0.2500  8 F 3.55, 4 Br 3.70
Nb1 0.0000 0.0000 0.0000  4 F 2.00
Cs2 0.5000 0.2500 0.7500  8 F 3.55, 4 Br 3.70
F1 0.0000 0.1917 0.8083  1 Nb 2.00
F2 0.3834 0.1917 0.1917  1 Nb 2.00
Br1 0.0000 0.7184 0.7184  1 Nb 2.63
F3 0.0000 0.8083 0.1917  1 Nb 2.00
Br2 0.0000 0.2816 0.2816  1 Nb 2.63
F4 0.6166 0.8083 0.8083  1 Nb 2.00


(4)
VASP calculation (PBE) on an optimized crystal structure of Rb3TcF8.

Values from the calculation:
N(E_F) (states/eV/cell): 36.6
Symmetry: P6_3mc
Energy relative to the elements, uncorrected (kJ per mole of atoms): -234.7
Total energy (Ry/atom): -0.3518

Cell lengths 7.5152, 8.4475, 8.4475 Å; angles 120.00, 90.00, 90.00 degrees
Closest atoms and distances in Å follow each position.
Atoms (fractional coordinates):
F1 0.0125 0.4405 0.5595  1 Tc 1.91
F2 0.8006 0.7757 0.5513  1 Tc 1.92
Rb1 0.1884 0.8456 0.6913  2 F 2.63-2.89
F3 0.3006 0.5513 0.7757  1 Tc 1.92
Rb2 0.1884 0.3087 0.1544  2 F 2.63-2.89
F4 0.0125 0.1189 0.5595  1 Tc 1.91
Tc1 0.6584 0.6667 0.3333  6 F 1.91-1.92
F5 0.0125 0.4405 0.8811  1 Tc 1.91
F6 0.3006 0.2243 0.4487  1 Tc 1.92
Rb3 0.6884 0.1544 0.8456  2 F 2.63-2.89
F7 0.3006 0.2243 0.7757  1 Tc 1.92
Rb4 0.6884 0.6913 0.8456  2 F 2.63-2.89
Rb5 0.1884 0.8456 0.1544  2 F 2.63-2.89
F8 0.5125 0.5595 0.4405  1 Tc 1.91
F9 0.5125 0.5595 0.1189  1 Tc 1.91
F10 0.5125 0.8811 0.4405  1 Tc 1.91
F11 0.8006 0.4487 0.2243  1 Tc 1.92
F12 0.6615 0.3333 0.6667  3 Rb 2.63
Tc2 0.1584 0.3333 0.6667  6 F 1.91-1.92
F13 0.8006 0.7757 0.2243  1 Tc 1.92
Rb6 0.6884 0.1544 0.3087  2 F 2.63-2.89
F14 0.1615 0.6667 0.3333  3 Rb 2.63
F15 0.9488 0.0000 0.0000  6 Rb 2.89-2.99
F16 0.4488 0.0000 0.0000  6 Rb 2.89-2.99


(5)
VASP calculation (PBE) on an optimized crystal structure of NbAg3F.

Values from the calculation:
N(E_F) (states/eV/cell): 4.9
Symmetry: Pm-3m
Offset from the most stable computed form (meV/atom): 0
Energy relative to the elements, uncorrected (kJ per mole of atoms): 49.0
Total energy (Ry/atom): -0.2639

Cell lengths 4.5846, 4.5846, 4.5846 Å; angles 90.00, 90.00, 90.00 degrees
Closest atoms and distances in Å follow each position.
Atoms (fractional coordinates):
F1 0.0000 0.0000 0.0000  6 Ag 2.29
Ag1 0.0000 0.0000 0.5000  2 F 2.29
Ag2 0.5000 0.0000 0.0000  2 F 2.29
Ag3 0.0000 0.5000 0.0000  2 F 2.29
Nb1 0.5000 0.5000 0.5000  12 Ag 3.24


(6)
VASP calculation (PBE) on an optimized crystal structure of LiTbCuSi.

Values from the calculation:
N(E_F) (states/eV/cell): 1.7
Symmetry: F-43m
Energy relative to the elements, uncorrected (kJ per mole of atoms): -30.0
Total energy (Ry/atom): -0.3180

Cell lengths 4.4966, 4.4966, 4.4966 Å; angles 60.00, 60.00, 60.00 degrees
Closest atoms and distances in Å follow each position.
Atoms (fractional coordinates):
Li1 0.2500 0.2500 0.2500  4 Si 2.75, 4 Tb 2.75
Tb1 0.0000 0.0000 0.0000  4 Cu 2.75, 4 Li 2.75
Si1 0.5000 0.5000 0.5000  4 Li 2.75, 4 Cu 2.75
Cu1 0.7500 0.7500 0.7500  4 Tb 2.75, 4 Si 2.75


(7)
VASP calculation (PBE) on an optimized crystal structure of SrCu2Tc.

Values from the calculation:
N(E_F) (states/eV/cell): 4.9
Symmetry: R-3m
Offset from the most stable computed form (meV/atom): 565
DFT formation energy (eV per formula unit): 3.51
Total energy (Ry/atom): -0.3075

Cell lengths 9.4573, 9.4573, 9.4573 Å; angles 17.95, 17.95, 17.95 degrees
Closest atoms and distances in Å follow each position.
Atoms (fractional coordinates):
Cu1 0.0114 0.0114 0.0114  3 Tc 2.63
Sr1 0.2500 0.2500 0.2500  6 Sr 2.95, 6 Cu 3.15
Tc1 0.7500 0.7500 0.7500  6 Cu 2.63
Cu2 0.4886 0.4886 0.4886  3 Tc 2.63


(8)
VASP calculation (PBE) on an optimized crystal structure of H6S3F.

Values from the calculation:
Symmetry: P1
Total energy (Ry/atom): -0.2774

Cell lengths 4.4625, 5.9062, 7.3782 Å; angles 103.13, 111.67, 98.75 degrees
Closest atoms and distances in Å follow each position.
Atoms (fractional coordinates):
H1 0.8369 0.0167 0.4823  1 S 1.36
H2 0.5972 0.3790 0.5989  1 S 1.38
H3 0.2326 0.5666 0.1129  1 S 1.36
S1 0.9768 0.3675 0.0447  1 H 1.36
S2 0.5658 0.0442 0.3351  2 H 1.36
H4 0.8509 0.7194 0.7611  1 S 1.36
S3 0.5892 0.5578 0.7522  2 H 1.36-1.38
H5 0.1043 0.1525 0.8705  1 F 1.01
H6 0.7524 0.1722 0.2645  1 S 1.36
F1 0.1550 0.0241 0.7777  1 H 1.01


- Among the records above, which one has the lowest total energy?
  LiHoSnPt


- What is the total energy in the sixth record?
  -0.3180 Ry/atom


Copy entry 8 word for word.
VASP calculation (PBE) on an optimized crystal structure of H6S3F.

Values from the calculation:
Symmetry: P1
Total energy (Ry/atom): -0.2774

Cell lengths 4.4625, 5.9062, 7.3782 Å; angles 103.13, 111.67, 98.75 degrees
Closest atoms and distances in Å follow each position.
Atoms (fractional coordinates):
H1 0.8369 0.0167 0.4823  1 S 1.36
H2 0.5972 0.3790 0.5989  1 S 1.38
H3 0.2326 0.5666 0.1129  1 S 1.36
S1 0.9768 0.3675 0.0447  1 H 1.36
S2 0.5658 0.0442 0.3351  2 H 1.36
H4 0.8509 0.7194 0.7611  1 S 1.36
S3 0.5892 0.5578 0.7522  2 H 1.36-1.38
H5 0.1043 0.1525 0.8705  1 F 1.01
H6 0.7524 0.1722 0.2645  1 S 1.36
F1 0.1550 0.0241 0.7777  1 H 1.01


- total energy of number 2 (LiHoSnPt)?
  -0.3719 Ry/atom